No. 1
Here is a relaxed Na2AlB2Pd5 crystal from Alexandria via LeMat-Bulk. Energies are from PBE-GGA.

a b c (Å): 9.9317 9.9317 2.8704
angles (deg): 90.00 90.00 90.00
Closest atoms and distances in Å follow each position.
Fractional coordinates of all 20 atoms:
Na 0.1791 0.3209 0.0000  3 B 2.77-3.06, 2 Na 2.87, 10 Pd 2.90-2.99
Na 0.3209 0.8209 0.0000  3 B 2.77-3.06, 2 Na 2.87, 10 Pd 2.90-2.99
Na 0.6791 0.1791 0.0000  3 B 2.77-3.06, 2 Na 2.87, 10 Pd 2.90-2.99
Na 0.8209 0.6791 0.0000  3 B 2.77-3.06, 2 Na 2.87, 10 Pd 2.90-2.99
Al 0.0000 0.0000 0.0000  8 Pd 2.68, 2 Al 2.87
Al 0.5000 0.5000 0.0000  8 Pd 2.68, 2 Al 2.87
B 0.1236 0.6236 0.0000  6 Pd 2.20-2.25
B 0.3764 0.1236 0.0000  6 Pd 2.20-2.25
B 0.6236 0.8764 0.0000  6 Pd 2.20-2.25
B 0.8764 0.3764 0.0000  6 Pd 2.20-2.25
Pd 0.0000 0.5000 0.5000  4 B 2.25
Pd 0.0647 0.7812 0.5000  2 B 2.20
Pd 0.2188 0.0647 0.5000  2 B 2.20
Pd 0.2812 0.5647 0.5000  2 B 2.20
Pd 0.4353 0.2812 0.5000  2 B 2.20
Pd 0.5000 0.0000 0.5000  4 B 2.25
Pd 0.5647 0.7188 0.5000  2 B 2.20
Pd 0.7188 0.4353 0.5000  2 B 2.20
Pd 0.7812 0.9353 0.5000  2 B 2.20
Pd 0.9353 0.2188 0.5000  2 B 2.20

Computed properties:
M_tot: 0.00 μB per cell
E_form: -3.525 eV per formula unit

***

No. 2
Here is a relaxed NaAlBRh2 crystal from Alexandria via LeMat-Bulk. Energies are from PBE-GGA.

a b c (Å): 4.0993 4.0993 4.3216
angles (deg): 90.00 90.00 90.00
Closest atoms and distances in Å follow each position.
Fractional coordinates of all 5 atoms:
Na 0.0000 0.0000 0.0000  2 B 2.16
Al 0.5000 0.5000 0.0000  4 Na 2.90, 8 Rh 2.98
B 0.0000 0.0000 0.5000  4 Rh 2.05, 2 Na 2.16
Rh 0.0000 0.5000 0.5000  2 B 2.05
Rh 0.5000 0.0000 0.5000  2 B 2.05

Computed properties:
M_tot: 0.00 μB per cell
E_form: -0.312 eV per formula unit

***

No. 3
Here is a relaxed Na2AlBS4 crystal from Alexandria via LeMat-Bulk. Energies are from PBE-GGA.

a b c (Å): 6.0482 6.0482 6.0482
angles (deg): 118.84 118.84 92.01
Closest atoms and distances in Å follow each position.
Fractional coordinates of all 8 atoms:
Na 0.0000 0.0000 0.0000  4 S 2.71
Na 0.7500 0.2500 0.5000  4 S 2.90
Al 0.5000 0.5000 0.0000  4 S 2.27
B 0.2500 0.7500 0.5000  4 S 1.95
S 0.2104 0.0889 0.5581  1 B 1.95
S 0.3477 0.7896 0.8785  1 B 1.95
S 0.5308 0.6523 0.4419  1 B 1.95
S 0.9111 0.4692 0.1215  1 B 1.95

Computed properties:
E_form (uncorrected): -0.947 eV/atom
M_tot: 0.00 μB per cell

***

No. 4
Here is a relaxed NaAlSnB2 crystal from Alexandria via LeMat-Bulk. Energies are from PBE-GGA.

a b c (Å): 4.5509 4.5509 5.0305
angles (deg): 90.00 90.00 90.00
Closest atoms and distances in Å follow each position.
Fractional coordinates of all 5 atoms:
Na 0.0000 0.0000 0.0000  4 B 2.28, 2 Al 2.52
Al 0.0000 0.0000 0.5000  2 Na 2.52
Sn 0.5000 0.5000 0.5000  4 Al 3.22, 8 B 3.39
B 0.0000 0.5000 0.0000  2 Na 2.28
B 0.5000 0.0000 0.0000  2 Na 2.28

Computed properties:
M_tot: 0.00 μB per cell
E_form: 10.063 eV per formula unit

***

No. 5
Here is a relaxed NaAlVB2 crystal from Alexandria via LeMat-Bulk. Energies are from PBE-GGA.

a b c (Å): 4.1188 4.1188 5.0892
angles (deg): 90.00 90.00 90.00
Closest atoms and distances in Å follow each position.
Fractional coordinates of all 5 atoms:
Na 0.0000 0.0000 0.0000  2 V 2.54
Al 0.5000 0.5000 0.0000  4 Na 2.91
V 0.0000 0.0000 0.5000  4 B 2.06
B 0.0000 0.5000 0.5000  2 V 2.06
B 0.5000 0.0000 0.5000  2 V 2.06

Computed properties:
M_tot: 1.07 μB per cell
E_form: 7.090 eV per formula unit

***

No. 6
Here is a relaxed Nb5Al2B2 crystal from Alexandria via LeMat-Bulk. Energies are from PBE-GGA.

a b c (Å): 7.6478 7.6478 6.2064
angles (deg): 90.00 90.00 48.95
Closest atoms and distances in Å follow each position.
Fractional coordinates of all 18 atoms:
Nb 0.0000 0.0000 0.0000  4 B 2.56-2.59, 8 Nb 2.74-2.80
Nb 0.0706 0.7063 0.6876  3 B 2.42-2.45
Nb 0.2063 0.5706 0.1876  3 B 2.42-2.45
Nb 0.2937 0.9294 0.6876  3 B 2.42-2.45
Nb 0.4294 0.7937 0.1876  3 B 2.42-2.45
Nb 0.5000 0.5000 0.5000  4 B 2.56-2.59, 8 Nb 2.74-2.80
Nb 0.5706 0.2063 0.8124  3 B 2.42-2.45
Nb 0.7063 0.0706 0.3124  3 B 2.42-2.45
Nb 0.7937 0.4294 0.8124  3 B 2.42-2.45
Nb 0.9294 0.2937 0.3124  3 B 2.42-2.45
Al 0.2305 0.2305 0.0000  6 Nb 2.74-2.86
Al 0.2695 0.2695 0.5000  6 Nb 2.74-2.86
Al 0.7305 0.7305 0.5000  6 Nb 2.74-2.86
Al 0.7695 0.7695 0.0000  6 Nb 2.74-2.86
B 0.1033 0.8967 0.3987  1 B 1.81
B 0.3967 0.6033 0.8987  1 B 1.81
B 0.6033 0.3967 0.1013  1 B 1.81
B 0.8967 0.1033 0.6013  1 B 1.81

Computed properties:
M_tot: 0.00 μB per cell
E_form: -3.305 eV per formula unit